Entry 1:
Here is a relaxed structure of Ac3Mg3Hg2 from the Alexandria database. Energies are from GGA-PBE.

Cell and atoms, written as extended XYZ:
```
16
Lattice="2.538 -5.831 0.000 2.538 5.831 0.000 0.000 0.000 16.910" Properties=species:S:1:pos:R:3 pbc="T T T"
Ac 2.538 4.787 10.359
Ac 2.538 4.787 15.005
Ac 2.538 1.417 12.682
Ac 2.538 -1.417 4.227
Ac 2.538 -4.787 1.904
Ac 2.538 -4.787 6.551
Mg 2.538 2.022 4.227
Mg 2.538 1.470 9.010
Mg 2.538 1.470 16.354
Mg 2.538 -1.470 0.555
Mg 2.538 -1.470 7.899
Mg 2.538 -2.022 12.682
Hg 2.538 3.476 1.731
Hg 2.538 3.476 6.724
Hg 2.538 -3.476 10.185
Hg 2.538 -3.476 15.179
```

## Properties
Energy relative to the lowest polymorph listed for this composition ... 0 meV per atom
Energy relative to the elements ... -194.2 kJ/mol of formula units

=====

Entry 2:
Here is a relaxed structure of AcMg2Hg3 from the Alexandria database. Energies are from GGA-PBE.

Cell and atoms, written as extended XYZ:
```
12
Lattice="4.824 0.000 0.000 -2.412 4.178 0.000 0.000 0.000 15.617" Properties=species:S:1:pos:R:3 pbc="T T T"
Ac 0.000 0.000 3.904
Ac 0.000 0.000 11.713
Mg 0.000 2.785 1.105
Mg 0.000 2.785 6.704
Mg 2.412 1.393 8.914
Mg 2.412 1.393 14.512
Hg 0.000 0.000 0.000
Hg 0.000 0.000 7.809
Hg 0.000 2.785 9.826
Hg 0.000 2.785 13.600
Hg 2.412 1.393 2.017
Hg 2.412 1.393 5.792
```

## Properties
Energy relative to the lowest polymorph listed for this composition ... 0 meV per atom
Energy relative to the elements ... -203.1 kJ/mol of formula units

=====

Entry 3:
Here is a relaxed structure of Ac2MgHg3 from the Alexandria database. Energies are from GGA-PBE.

Cell and atoms, written as extended XYZ:
```
12
Lattice="0.000 5.146 8.910 3.853 0.000 8.910 3.853 5.146 0.000" Properties=species:S:1:pos:R:3 pbc="T T T"
Ac 5.861 5.146 8.910
Ac 1.926 2.573 4.455
Ac 5.779 7.719 13.365
Ac 1.845 5.146 8.910
Mg 3.853 5.146 5.944
Mg 3.853 5.146 11.877
Hg 3.853 5.146 3.042
Hg 3.853 2.662 7.391
Hg 3.853 2.662 10.429
Hg 3.853 7.631 7.391
Hg 3.853 7.631 10.429
Hg 3.853 5.146 14.778
```

## Properties
Energy relative to the lowest polymorph listed for this composition ... 32 meV per atom
Energy relative to the elements ... -235.2 kJ/mol of formula units

=====

Entry 4:
Here is a relaxed structure of Ac3Mg2Hg7 from the Alexandria database. Energies are from GGA-PBE.

Cell and atoms, written as extended XYZ:
```
12
Lattice="5.083 0.000 0.000 0.000 4.780 0.000 -2.538 0.000 14.243" Properties=species:S:1:pos:R:3 pbc="T T T"
Ac 0.000 0.000 0.000
Ac 0.006 2.390 9.165
Ac 2.539 2.390 5.078
Mg -0.004 0.000 3.759
Mg 2.549 0.000 10.484
Hg -0.015 2.390 2.358
Hg 0.002 0.000 6.442
Hg 0.010 0.000 11.848
Hg 2.541 2.390 0.000
Hg 2.536 0.000 2.395
Hg 2.543 0.000 7.801
Hg 2.561 2.390 11.885
```

## Properties
Energy relative to the elements ... -380.3 kJ/mol of formula units

=====

Entry 5:
Here is a relaxed structure of Ac4MgHg5 from the Alexandria database. Energies are from GGA-PBE.

Cell and atoms, written as extended XYZ:
```
10
Lattice="3.955 0.000 0.000 0.000 3.955 0.000 0.000 0.000 19.814" Properties=species:S:1:pos:R:3 pbc="T T T"
Ac 0.000 0.000 2.084
Ac 0.000 0.000 6.213
Ac 0.000 0.000 13.601
Ac 0.000 0.000 17.730
Mg 0.000 0.000 9.907
Hg 1.977 1.977 0.000
Hg 1.977 1.977 4.133
Hg 1.977 1.977 8.309
Hg 1.977 1.977 11.505
Hg 1.977 1.977 15.680
```

## Properties
Energy relative to the elements ... -399.1 kJ/mol of formula units

=====

Entry 6:
Here is a relaxed structure of Ac4Mg5Hg6 from the Alexandria database. Energies are from GGA-PBE.

Cell and atoms, written as extended XYZ:
```
30
Lattice="2.326 -11.731 0.000 2.326 11.731 0.000 0.000 0.000 16.185" Properties=species:S:1:pos:R:3 pbc="T T T"
Ac 2.326 11.127 8.092
Ac 2.326 10.681 12.530
Ac 2.326 8.195 4.588
Ac 2.326 7.281 14.982
Ac 2.326 -7.281 6.889
Ac 2.326 -8.195 12.680
Ac 2.326 -10.681 4.438
Ac 2.326 -11.127 0.000
Mg 2.326 8.047 10.076
Mg 2.326 4.326 9.662
Mg 2.326 4.030 4.134
Mg 2.326 3.428 15.738
Mg 2.326 1.138 10.648
Mg 2.326 -1.138 2.556
Mg 2.326 -3.428 7.645
Mg 2.326 -4.030 12.226
Mg 2.326 -4.326 1.570
Mg 2.326 -8.047 1.983
Hg 2.326 9.291 1.412
Hg 2.326 6.623 7.657
Hg 2.326 5.904 12.018
Hg 2.326 1.892 2.099
Hg 2.326 1.884 6.957
Hg 2.326 1.214 13.701
Hg 2.326 -1.214 5.609
Hg 2.326 -1.884 15.049
Hg 2.326 -1.892 10.192
Hg 2.326 -5.904 3.926
Hg 2.326 -6.623 15.750
Hg 2.326 -9.291 9.505
```

## Properties
Energy relative to the elements ... -482.1 kJ/mol of formula units